Computed, not measured: an optimized crystal structure of RbLaRu2F at the PBE level of DFT.

Unit cell a=5.0701 b=5.1632 c=5.0701 alpha=90.00 beta=90.00 gamma=90.00
Each line ends with the local moment (μB).
Element x y z (fractional)
Ru 0.0000 0.0000 0.5000  1.10
Ru 0.5000 0.0000 0.0000  1.05
F 0.0000 0.5000 0.0000  0.01
Rb 0.5000 0.5000 0.5000  0.01
La 0.0000 0.0000 0.0000  -0.08

Calculated values
Its uncorrected formation energy is 0.20 eV per atom. The calculation puts the magnetization at 2.43 μB/f.u. The space-group type is P4/mmm, No. 123. As for the density of states at the Fermi level: 1.331 states/eV/atom.

=====

Computed, not measured: an optimized crystal structure of In3H5Pd12 at the PBE level of DFT.

Unit cell a=11.2931 b=11.2931 c=11.2931 alpha=109.47 beta=109.47 gamma=109.47
Element x y z (fractional)
In 0.7500 0.3750 0.1250
In 0.8750 0.7500 0.1250
In 0.3750 0.7500 0.6250
In 0.2500 0.1250 0.3750
In 0.8750 0.1250 0.2500
In 0.3750 0.6250 0.2500
In 0.6250 0.3750 0.7500
In 0.1250 0.8750 0.7500
In 0.7500 0.8750 0.6250
In 0.6250 0.2500 0.3750
In 0.1250 0.2500 0.8750
In 0.2500 0.6250 0.8750
H 0.1250 0.3750 0.2500
H 0.0000 0.5000 0.0000
H 0.0000 0.0000 0.0000
H 0.3750 0.2500 0.1250
H 0.5000 0.0000 0.5000
H 0.5000 0.5000 0.0000
H 0.1250 0.7500 0.3750
H 0.7500 0.1250 0.8750
H 0.7500 0.6250 0.3750
H 0.3750 0.1250 0.7500
H 0.6250 0.8750 0.2500
H 0.5000 0.5000 0.5000
H 0.5000 0.0000 0.0000
H 0.0000 0.0000 0.5000
H 0.2500 0.3750 0.6250
H 0.2500 0.8750 0.1250
H 0.0000 0.5000 0.5000
H 0.8750 0.2500 0.6250
H 0.6250 0.7500 0.8750
H 0.8750 0.6250 0.7500
Pd 0.6907 0.0989 0.0018
Pd 0.3112 0.5018 0.4029
Pd 0.9982 0.4011 0.3093
Pd 0.5018 0.1907 0.0989
Pd 0.5917 0.6907 0.6888
Pd 0.9982 0.5971 0.1888
Pd 0.3112 0.8093 0.4083
Pd 0.0971 0.9083 0.0989
Pd 0.5971 0.9982 0.6888
Pd 0.6907 0.5917 0.1888
Pd 0.8093 0.4982 0.4011
Pd 0.8112 0.9029 0.0018
Pd 0.0989 0.6907 0.5018
Pd 0.4011 0.4029 0.0917
Pd 0.0917 0.9029 0.4011
Pd 0.4083 0.0989 0.5971
Pd 0.0917 0.1888 0.1907
Pd 0.4982 0.6888 0.0971
Pd 0.8112 0.9083 0.3093
Pd 0.0989 0.4083 0.0971
Pd 0.4011 0.9982 0.8093
Pd 0.5971 0.5989 0.4083
Pd 0.9029 0.8112 0.5018
Pd 0.8093 0.3112 0.9083
Pd 0.4029 0.4011 0.5917
Pd 0.0971 0.1888 0.4982
Pd 0.1907 0.6888 0.0917
Pd 0.1888 0.0917 0.6907
Pd 0.5989 0.0018 0.1907
Pd 0.9011 0.5917 0.9029
Pd 0.5018 0.3112 0.9029
Pd 0.5917 0.9011 0.4029
Pd 0.9083 0.8112 0.8093
Pd 0.9083 0.0971 0.5989
Pd 0.9011 0.3093 0.4982
Pd 0.1888 0.0971 0.9982
Pd 0.5989 0.5971 0.9083
Pd 0.4029 0.0018 0.3112
Pd 0.3093 0.4083 0.8112
Pd 0.1907 0.5018 0.5989
Pd 0.9029 0.0917 0.9011
Pd 0.6888 0.1907 0.5917
Pd 0.4982 0.8093 0.9011
Pd 0.0018 0.4029 0.8112
Pd 0.4083 0.3093 0.3112
Pd 0.0018 0.5989 0.6907
Pd 0.6888 0.4982 0.5971
Pd 0.3093 0.9011 0.9982

Calculated values
The calculation puts the magnetization at 0.00 μB/f.u. As for the energy: -364.6 eV for the cell shown. The space-group type is Ia-3d, No. 230. As for the density of states at the Fermi level: 0.444 states/eV/atom.

=====

Computed, not measured: an optimized crystal structure of La2NiHPd at the PBE level of DFT.

Unit cell a=5.1777 b=5.1777 c=3.7083 alpha=90.00 beta=90.00 gamma=90.00
Element x y z (fractional)
Ni 0.5000 0.5000 0.5000
H 0.0000 0.0000 0.0000
Pd 0.0000 0.0000 0.5000
La 0.0000 0.5000 0.0000
La 0.5000 0.0000 0.0000

Calculated values
The calculation puts the magnetization at 0.00 μB/f.u. As for the energy relative to the lowest polymorph listed for this composition: 70.5 meV/atom. The space-group type is P4/mmm, No. 123. As for the density of states at the Fermi level: 0.639 states/eV/atom.

=====

Computed, not measured: an optimized crystal structure of Co3IrSe at the PBE level of DFT.

Unit cell a=4.6082 b=4.6082 c=4.6082 alpha=90.00 beta=90.00 gamma=90.00
Each line ends with the local moment (μB).
Element x y z (fractional)
Ir 0.0000 0.0000 0.0000  0.85
Co 0.0000 0.5000 0.0000  2.08
Co 0.0000 0.0000 0.5000  2.48
Co 0.5000 0.0000 0.0000  1.64
Se 0.5000 0.5000 0.5000  0.14

Calculated values
Its uncorrected formation energy is 1.30 eV per atom. The calculation puts the magnetization at 7.35 μB/f.u. As for the energy relative to the lowest polymorph listed for this composition: 323.5 meV/atom. The space-group type is Pm-3m, No. 221. As for the density of states at the Fermi level: 1.952 states/eV/atom.